1.
Crystalline CrFe2As6 at its relaxed geometry, computed with PBEsol.

Final energy (eV per formula unit): -61.10
ΔE_f (meV per atom): -255
Space-group type: No. 10
Density (Mg/m³): 7.428
Total moment (μB/atom): 0.23
Crystal system: monoclinic

Lattice parameters (Å, degrees): 5.323 2.851 18.066 90.00 90.12 90.00
Fractional coordinates of all 18 atoms:
Cr 0.000 0.000 0.168
Cr 0.000 0.000 0.832
Fe 0.000 0.000 0.500
Fe 0.496 0.500 0.338
Fe 0.500 0.500 0.000
Fe 0.504 0.500 0.662
As 0.181 0.000 0.293
As 0.182 0.000 0.618
As 0.182 0.000 0.956
As 0.319 0.500 0.455
As 0.332 0.500 0.120
As 0.332 0.500 0.782
As 0.668 0.500 0.218
As 0.668 0.500 0.880
As 0.681 0.500 0.545
As 0.818 0.000 0.044
As 0.818 0.000 0.382
As 0.819 0.000 0.707

2.
Crystalline CrFe3As at its relaxed geometry, computed with PBEsol.

Final energy (eV per formula unit): -36.84
ΔE_f (meV per atom): 1079
Space-group type: No. 221
Density (Mg/m³): 6.183
Total moment (μB/atom): 2.07
Offset from the most stable computed form (meV per atom): 0
Crystal system: cubic

Lattice parameters (Å, degrees): 4.292 4.292 4.292 90.00 90.00 90.00
Fractional coordinates of all 5 atoms:
Cr 0.000 0.000 0.000
Fe 0.000 0.500 0.500
Fe 0.500 0.000 0.500
Fe 0.500 0.500 0.000
As 0.500 0.500 0.500

3.
Crystalline CrFe3As at its relaxed geometry, computed with PBEsol.

Final energy (eV per formula unit): -36.26
ΔE_f (meV per atom): 1196
Space-group type: No. 221
Density (Mg/m³): 6.748
Total moment (μB/atom): 0.86
Offset from the most stable computed form (meV per atom): 117
Crystal system: cubic

Lattice parameters (Å, degrees): 4.169 4.169 4.169 90.00 90.00 90.00
Fractional coordinates of all 5 atoms:
Cr 0.000 0.000 0.000
Fe 0.000 0.000 0.500
Fe 0.000 0.500 0.000
Fe 0.500 0.000 0.000
As 0.500 0.500 0.500

4.
Crystalline Cr2FeAs at its relaxed geometry, computed with PBEsol.

Final energy (eV per formula unit): -34.18
ΔE_f (meV per atom): 93
Space-group type: No. 99
Density (Mg/m³): 8.407
Total moment (μB/atom): 0.24
Crystal system: tetragonal

Lattice parameters (Å, degrees): 2.941 2.941 5.363 90.00 90.00 90.00
Fractional coordinates of all 4 atoms:
Cr 0.000 0.000 0.000
Cr 0.500 0.500 0.218
Fe 0.000 0.000 0.498
As 0.500 0.500 0.723

5.
Crystalline CrFeAs4 at its relaxed geometry, computed with PBEsol.

Final energy (eV per formula unit): -40.92
ΔE_f (meV per atom): -215
Space-group type: No. 10
Density (Mg/m³): 7.269
Total moment (μB/atom): 0.34
Crystal system: monoclinic

Lattice parameters (Å, degrees): 5.375 2.854 6.069 90.00 90.09 90.00
Fractional coordinates of all 6 atoms:
Cr 0.000 0.000 0.000
Fe 0.500 0.500 0.500
As 0.184 0.000 0.370
As 0.332 0.500 0.855
As 0.668 0.500 0.145
As 0.816 0.000 0.630

6.
Crystalline CrFeAs2Se at its relaxed geometry, computed with PBEsol.

Final energy (eV per formula unit): -29.25
Uncorrected formation energy (eV per formula unit): 4.0
Space-group type: No. 123
Density (Mg/m³): 5.656
Total moment (μB/atom): 0.95
Crystal system: tetragonal

Lattice parameters (Å, degrees): 4.531 4.531 4.814 90.00 90.00 90.00
Fractional coordinates of all 5 atoms:
Cr 0.000 0.000 0.000
Fe 0.500 0.500 0.500
As 0.000 0.500 0.000
As 0.500 0.000 0.000
Se 0.000 0.000 0.500

7.
Crystalline Cr3GeAs at its relaxed geometry, computed with PBEsol.

Final energy (eV per formula unit): -35.66
ΔE_f (meV per atom): 1022
Space-group type: No. 221
Density (Mg/m³): 5.136
Total moment (μB/atom): 2.20
Crystal system: cubic

Lattice parameters (Å, degrees): 4.613 4.613 4.613 90.00 90.00 90.00
Fractional coordinates of all 5 atoms:
Cr 0.000 0.000 0.500
Cr 0.000 0.500 0.000
Cr 0.500 0.000 0.000
Ge 0.000 0.000 0.000
As 0.500 0.500 0.500

8.
Crystalline CrAsH3 at its relaxed geometry, computed with PBEsol.

Final energy (eV per formula unit): -20.84
Space-group type: No. 221
Density (Mg/m³): 4.250
Total moment (μB/atom): 0.92
Crystal system: cubic

Lattice parameters (Å, degrees): 3.703 3.703 3.703 90.00 90.00 90.00
Fractional coordinates of all 5 atoms:
Cr 0.000 0.000 0.000
As 0.500 0.500 0.500
H 0.000 0.500 0.500
H 0.500 0.000 0.500
H 0.500 0.500 0.000

9.
Crystalline CrNiAsH2 at its relaxed geometry, computed with PBEsol.

Final energy (eV per formula unit): -26.39
Space-group type: No. 123
Density (Mg/m³): 5.701
Total moment (μB/atom): 0.45
Crystal system: tetragonal

Lattice parameters (Å, degrees): 3.343 3.343 4.890 90.00 90.00 90.00
Fractional coordinates of all 5 atoms:
Cr 0.000 0.000 0.000
Ni 0.500 0.500 0.500
As 0.000 0.000 0.500
H 0.000 0.500 0.000
H 0.500 0.000 0.000

10.
Crystalline Rb2HfCrAs at its relaxed geometry, computed with PBEsol.

Final energy (eV per formula unit): -21.41
ΔE_f (meV per atom): 1297
Space-group type: No. 123
Density (Mg/m³): 3.928
Total moment (μB/atom): 1.38
Crystal system: tetragonal

Lattice parameters (Å, degrees): 6.627 6.627 4.586 90.00 90.00 90.00
Fractional coordinates of all 5 atoms:
Rb 0.000 0.500 0.000
Rb 0.500 0.000 0.000
Hf 0.000 0.000 0.500
Cr 0.500 0.500 0.000
As 0.500 0.500 0.500

11.
Crystalline CrHgMoAs2 at its relaxed geometry, computed with PBEsol.

Final energy (eV per formula unit): -29.11
ΔE_f (meV per atom): 737
Space-group type: No. 123
Density (Mg/m³): 7.331
Total moment (μB/atom): 0.75
Crystal system: tetragonal

Lattice parameters (Å, degrees): 4.766 4.766 4.970 90.00 90.00 90.00
Fractional coordinates of all 5 atoms:
Cr 0.000 0.000 0.000
Hg 0.500 0.500 0.000
Mo 0.000 0.000 0.500
As 0.000 0.500 0.500
As 0.500 0.000 0.500

12.
Crystalline CrHgAs2Se at its relaxed geometry, computed with PBEsol.

Final energy (eV per formula unit): -18.61
Uncorrected formation energy (eV per formula unit): 6.3
Space-group type: No. 123
Density (Mg/m³): 6.008
Total moment (μB/atom): 0.69
Crystal system: tetragonal

Lattice parameters (Å, degrees): 5.059 5.059 5.199 90.00 90.00 90.00
Fractional coordinates of all 5 atoms:
Cr 0.000 0.000 0.000
Hg 0.500 0.500 0.500
As 0.000 0.500 0.500
As 0.500 0.000 0.500
Se 0.500 0.500 0.000